Record 1
Below is an optimized crystal structure of LaSmTeSe, with properties calculated at the GGA-PBE level.

Computed properties:
The calculated density comes out at 6924 kg/m³. The calculation puts the calculated volume at 29.7 Å³/atom. As for the total energy: -23.1 eV per formula unit.

Cell and atoms, written as CIF:
```
data_LaSmTeSe
_chemical_formula_sum 'La3 Sm3 Te3 Se3'
_space_group_name_H-M_alt 'R 3 m'
_space_group_IT_number 160
_space_group_name_Hall 'R 3 -2"'
_cell_length_a 4.3620
_cell_length_b 4.3620
_cell_length_c 21.6498
_cell_angle_alpha 90.00
_cell_angle_beta 90.00
_cell_angle_gamma 120.00
loop_
_atom_site_label
_atom_site_fract_x
_atom_site_fract_y
_atom_site_fract_z
_atom_site_occupancy
La1 0.0000 0.0000 0.0000 1
Sm1 0.0000 0.0000 0.4799 1
Te1 0.0000 0.0000 0.2371 1
Se1 0.0000 0.0000 0.7436 1
```

---

Record 2
Below is an optimized crystal structure of BaMgHgGe, with properties calculated at the GGA-PBE level.

Computed properties:
The calculated density comes out at 6433 kg/m³. The calculation puts the calculated volume at 28.1 Å³/atom. Its formation energy is -317 meV per atom. As for the total energy: -9.7 eV per formula unit.

Cell and atoms, written as CIF:
```
data_BaMgHgGe
_chemical_formula_sum 'Ba4 Mg4 Hg4 Ge4'
_space_group_name_H-M_alt 'F -4 3 m'
_space_group_IT_number 216
_space_group_name_Hall 'F -4 2 3'
_cell_length_a 7.657
_cell_length_b 7.657
_cell_length_c 7.657
_cell_angle_alpha 90.00
_cell_angle_beta 90.00
_cell_angle_gamma 90.00
loop_
_atom_site_label
_atom_site_fract_x
_atom_site_fract_y
_atom_site_fract_z
_atom_site_occupancy
Ba1 0.000 0.000 0.000 1
Mg1 0.000 0.000 0.500 1
Hg1 0.250 0.250 0.750 1
Ge1 0.250 0.250 0.250 1
```

---

Record 3
Below is an optimized crystal structure of Zn6PtAu, with properties calculated at the GGA-PBE level.

Computed properties:
The calculated density comes out at 10813 kg/m³. The calculation puts the excess energy over the best structure of this formula in the dataset at 0.10 eV per formula unit. The calculation puts the calculated volume at 15.1 Å³/atom. Its formation energy is -195 meV per atom. As for the total energy: -18.5 eV per formula unit.

Cell and atoms, written as CIF:
```
data_Zn6PtAu
_chemical_formula_sum 'Zn18 Pt3 Au3'
_space_group_name_H-M_alt 'R -3 m'
_space_group_IT_number 166
_space_group_name_Hall '-R 3 2"'
_cell_length_a 4.3958
_cell_length_b 4.3958
_cell_length_c 21.5975
_cell_angle_alpha 90.00
_cell_angle_beta 90.00
_cell_angle_gamma 120.00
loop_
_atom_site_label
_atom_site_fract_x
_atom_site_fract_y
_atom_site_fract_z
_atom_site_occupancy
Zn1 0.0000 0.0000 0.1229 1
Zn2 0.0000 0.0000 0.2523 1
Zn3 0.0000 0.0000 0.3733 1
Pt1 0.0000 0.0000 0.0000 1
Au1 0.0000 0.0000 0.5000 1
```

---

Record 4
Below is an optimized crystal structure of Hf2ZrTa2, with properties calculated at the GGA-PBE level.

Computed properties:
The calculated density comes out at 12075 kg/m³. The calculation puts the excess energy over the best structure of this formula in the dataset at 0.96 eV per formula unit. The calculation puts the calculated volume at 22.3 Å³/atom. Its formation energy is 466 meV per atom. As for the total energy: -49.8 eV per formula unit.

Cell and atoms, written as CIF:
```
data_Hf2ZrTa2
_chemical_formula_sum 'Hf4 Zr2 Ta4'
_space_group_name_H-M_alt 'I 4/m m m'
_space_group_IT_number 139
_space_group_name_Hall '-I 4 2'
_cell_length_a 4.117
_cell_length_b 4.117
_cell_length_c 13.145
_cell_angle_alpha 90.00
_cell_angle_beta 90.00
_cell_angle_gamma 90.00
loop_
_atom_site_label
_atom_site_fract_x
_atom_site_fract_y
_atom_site_fract_z
_atom_site_occupancy
Hf1 0.000 0.500 0.250 1
Zr1 0.000 0.000 0.000 1
Ta1 0.000 0.000 0.405 1
```

---

Record 5
Below is an optimized crystal structure of Ac2AsPd3, with properties calculated at the GGA-PBE level.

Computed properties:
The calculated density comes out at 9530 kg/m³. The calculation puts the excess energy over the best structure of this formula in the dataset at 0.02 eV per formula unit. The calculation puts the calculated volume at 24.6 Å³/atom. Its formation energy is -952 meV per atom. As for the total energy: -34.2 eV per formula unit.

Cell and atoms, written as CIF:
```
data_Ac2AsPd3
_chemical_formula_sum 'Ac16 As8 Pd24'
_space_group_name_H-M_alt 'F m m m'
_space_group_IT_number 69
_space_group_name_Hall '-F 2 2'
_cell_length_a 8.233
_cell_length_b 9.067
_cell_length_c 15.839
_cell_angle_alpha 90.00
_cell_angle_beta 90.00
_cell_angle_gamma 90.00
loop_
_atom_site_label
_atom_site_fract_x
_atom_site_fract_y
_atom_site_fract_z
_atom_site_occupancy
Ac1 0.246 0.000 0.000 1
Ac2 0.250 0.250 0.250 1
As1 0.000 0.000 0.334 1
Pd1 0.000 0.000 0.173 1
Pd2 0.000 0.242 0.414 1
```

---

Record 6
Below is an optimized crystal structure of CuTe2CN, with properties calculated at the GGA-PBE level.

Computed properties:
The calculated density comes out at 5767 kg/m³. The calculation puts the excess energy over the best structure of this formula in the dataset at 0.00 eV per formula unit. The calculation puts the calculated volume at 19.9 Å³/atom. As for the total energy: -23.1 eV per formula unit.

Cell and atoms, written as CIF:
```
data_CuTe2CN
_chemical_formula_sum 'Cu1 Te2 C1 N1'
_space_group_name_H-M_alt 'P 4/m m m'
_space_group_IT_number 123
_space_group_name_Hall '-P 4 2'
_cell_length_a 6.171
_cell_length_b 6.171
_cell_length_c 2.607
_cell_angle_alpha 90.00
_cell_angle_beta 90.00
_cell_angle_gamma 90.00
loop_
_atom_site_label
_atom_site_fract_x
_atom_site_fract_y
_atom_site_fract_z
_atom_site_occupancy
Cu1 0.000 0.000 0.000 1
Te1 0.000 0.500 0.500 1
C1 0.500 0.500 0.500 1
N1 0.500 0.500 0.000 1
```

---

- total energy of number 2 (BaMgHgGe)?
  -9.7 eV per formula unit